# 1
DFT (PBE) results for an optimized crystal structure of PmYPb.

For the raw total energy, the calculation gives -15.64 eV per cell. As for the density of states at the Fermi level: 2.897 states/eV/f.u. As for the formation energy: -69 kJ/mol of formula units.

The structure belongs to space group P3m1 (No. 156); the cell edges are 5.2432, 5.2432 and 3.9752 Å and the angles 90.00°, 90.00° and 120.00°. Symmetry generates all atoms from Pm at (0.0000, 0.0000, 0.0000), Y at (0.3333, 0.6667, 0.5411) and Pb at (0.6667, 0.3333, 0.3510).


# 2
DFT (PBE) results for an optimized crystal structure of Pm6YPb4.

For the raw total energy, the calculation gives -53.82 eV per cell. As for the density of states at the Fermi level: 12.463 states/eV/f.u. As for the formation energy: -388 kJ/mol of formula units.

The structure belongs to space group P-6m2 (No. 187); the cell edges are 9.9422, 9.9422 and 4.2461 Å and the angles 90.00°, 90.00° and 120.00°. Symmetry generates all atoms from Pm at (0.0588, 0.5294, 0.0000), Pm at (0.1264, 0.2527, 0.5000), Y at (0.6667, 0.3333, 0.5000), Pb at (0.3333, 0.6667, 0.5000) and Pb at (0.3432, 0.1716, 0.0000).


# 3
DFT (PBE) results for an optimized crystal structure of Pm4YPb4.

For the raw total energy, the calculation gives -86.12 eV per cell. As for the density of states at the Fermi level: 7.634 states/eV/f.u. As for the formation energy: -267 kJ/mol of formula units.

The structure belongs to space group P4_2/n (No. 86, origin choice 2); the cell edges are 9.635, 9.635 and 6.493 Å and the angles 90.00°, 90.00° and 90.00°. Symmetry generates all atoms from Pm at (0.030, 0.668, 0.126), Y at (0.250, 0.250, 0.250) and Pb at (0.030, 0.651, 0.619).


# 4
DFT (PBE) results for an optimized crystal structure of Pm2YPb.

For the raw total energy, the calculation gives -80.82 eV per cell. As for the density of states at the Fermi level: 7.814 states/eV/f.u. As for the formation energy: -51 kJ/mol of formula units.

The structure belongs to space group Fm-3m (No. 225); the cell edges are 7.887, 7.887 and 7.887 Å and the angles 90.00°, 90.00° and 90.00°. Symmetry generates all atoms from Pm at (0.250, 0.250, 0.250), Y at (0.000, 0.000, 0.000) and Pb at (0.000, 0.000, 0.500).


# 5
DFT (PBE) results for an optimized crystal structure of Pm5YPb8.

For the raw total energy, the calculation gives -130.50 eV per cell. As for the density of states at the Fermi level: 11.619 states/eV/f.u. As for the formation energy: -518 kJ/mol of formula units.

The structure belongs to space group I-4 (No. 82); the cell edges are 9.720, 9.720 and 9.224 Å and the angles 90.00°, 90.00° and 90.00°. Symmetry generates all atoms from Pm at (0.000, 0.000, 0.000), Pm at (0.118, 0.224, 0.626), Y at (0.000, 0.500, 0.250), Pb at (0.072, 0.342, 0.949) and Pb at (0.091, 0.185, 0.277).


# 6
DFT (PBE) results for an optimized crystal structure of Pm3YPb3.

For the raw total energy, the calculation gives -208.21 eV per cell. As for the density of states at the Fermi level: 7.612 states/eV/f.u. As for the formation energy: -276 kJ/mol of formula units.

The structure belongs to space group R-3 (No. 148, hexagonal axes); the cell edges are 9.3666, 9.3666 and 18.9711 Å and the angles 90.00°, 90.00° and 120.00°. Symmetry generates all atoms from Pm at (0.0059, 0.2648, 0.0894), Y at (0.0000, 0.0000, 0.3320) and Pb at (0.0020, 0.3882, 0.9229).


# 7
DFT (PBE) results for an optimized crystal structure of Pm7Y12Pb.

For the raw total energy, the calculation gives -335.44 eV per cell. As for the density of states at the Fermi level: 31.365 states/eV/f.u. As for the formation energy: 262 kJ/mol of formula units.

The structure belongs to space group R-3 (No. 148, hexagonal axes); the cell edges are 12.0679, 12.0679 and 15.9530 Å and the angles 90.00°, 90.00° and 120.00°. Symmetry generates all atoms from Pm at (0.0000, 0.0000, 0.0000), Pm at (0.0607, 0.1851, 0.2939), Y at (0.0367, 0.4565, 0.2147), Y at (0.0570, 0.5821, 0.5845) and Pb at (0.0000, 0.0000, 0.5000).


# 8
DFT (PBE) results for an optimized crystal structure of Pm2Y3Pb4.

For the raw total energy, the calculation gives -191.35 eV per cell. As for the density of states at the Fermi level: 4.676 states/eV/f.u. As for the formation energy: -397 kJ/mol of formula units.

The structure belongs to space group Cmce (No. 64); the cell edges are 7.182, 17.292 and 9.054 Å and the angles 90.00°, 90.00° and 90.00°. Symmetry generates all atoms from Pm at (0.000, 0.112, 0.091), Y at (0.000, 0.000, 0.500), Y at (0.250, 0.206, 0.750), Pb at (0.000, 0.187, 0.445) and Pb at (0.250, 0.029, 0.750).


# 9
DFT (PBE) results for an optimized crystal structure of PmY5Pb6.

For the raw total energy, the calculation gives -130.04 eV per cell. As for the density of states at the Fermi level: 7.993 states/eV/f.u. As for the formation energy: -550 kJ/mol of formula units.

The structure belongs to space group C2/m (No. 12); the cell edges are 6.147, 15.303 and 7.868 Å and the angles 90.00°, 103.97° and 90.00°. Symmetry generates all atoms from Pm at (0.000, 0.000, 0.000), Y at (0.000, 0.000, 0.500), Y at (0.000, 0.331, 0.000), Y at (0.000, 0.337, 0.500), Pb at (0.002, 0.169, 0.745) and Pb at (0.009, 0.500, 0.246).


# 10
DFT (PBE) results for an optimized crystal structure of Pm6YPb6.

For the raw total energy, the calculation gives -60.87 eV per cell. As for the density of states at the Fermi level: 14.081 states/eV/f.u. As for the formation energy: -353 kJ/mol of formula units.

The structure belongs to space group P6/mmm (No. 191); the cell edges are 7.4305, 7.4305 and 9.3685 Å and the angles 90.00°, 90.00° and 120.00°. Symmetry generates all atoms from Pm at (0.0000, 0.5000, 0.2479), Y at (0.0000, 0.0000, 0.5000), Pb at (0.0000, 0.0000, 0.1665), Pb at (0.3333, 0.6667, 0.0000) and Pb at (0.3333, 0.6667, 0.5000).


# 11
DFT (PBE) results for an optimized crystal structure of Pm2YPb.

For the raw total energy, the calculation gives -82.51 eV per cell. As for the density of states at the Fermi level: 6.317 states/eV/f.u. As for the formation energy: -92 kJ/mol of formula units.

The structure belongs to space group Cmcm (No. 63); the cell edges are 4.258, 12.281 and 10.044 Å and the angles 90.00°, 90.00° and 90.00°. Symmetry generates all atoms from Pm at (0.000, 0.135, 0.048), Y at (0.000, 0.442, 0.250) and Pb at (0.000, 0.254, 0.750).


# 12
DFT (PBE) results for an optimized crystal structure of Pm3Y2Pb2.

For the raw total energy, the calculation gives -73.80 eV per cell. As for the density of states at the Fermi level: 7.288 states/eV/f.u. As for the formation energy: -222 kJ/mol of formula units.

The structure belongs to space group C2/m (No. 12); the cell edges are 11.796, 4.617 and 8.613 Å and the angles 90.00°, 107.28° and 90.00°. Symmetry generates all atoms from Pm at (0.000, 0.000, 0.000), Pm at (0.130, 0.000, 0.438), Y at (0.127, 0.500, 0.771) and Pb at (0.179, 0.500, 0.185).


# 13
DFT (PBE) results for an optimized crystal structure of Pm2Y2Pb3.

For the raw total energy, the calculation gives -143.27 eV per cell. As for the density of states at the Fermi level: 5.017 states/eV/f.u. As for the formation energy: -218 kJ/mol of formula units.

The structure belongs to space group Cmce (No. 64); the cell edges are 6.980, 13.856 and 9.424 Å and the angles 90.00°, 90.00° and 90.00°. Symmetry generates all atoms from Pm at (0.250, 0.070, 0.250), Y at (0.000, 0.197, 0.622), Pb at (0.000, 0.000, 0.500) and Pb at (0.000, 0.119, 0.933).


# 14
DFT (PBE) results for an optimized crystal structure of PmY2Pb9.

For the raw total energy, the calculation gives -54.82 eV per cell. As for the density of states at the Fermi level: 6.775 states/eV/f.u. As for the formation energy: -363 kJ/mol of formula units.

The structure belongs to space group P4/mmm (No. 123); the cell edges are 4.900, 4.900 and 14.681 Å and the angles 90.00°, 90.00° and 90.00°. Symmetry generates all atoms from Pm at (0.000, 0.000, 0.000), Y at (0.000, 0.000, 0.333), Pb at (0.000, 0.500, 0.169), Pb at (0.000, 0.500, 0.500), Pb at (0.500, 0.500, 0.000) and Pb at (0.500, 0.500, 0.334).


# 15
DFT (PBE) results for an optimized crystal structure of Pm4YPb5.

For the raw total energy, the calculation gives -48.99 eV per cell. As for the density of states at the Fermi level: 8.427 states/eV/f.u. As for the formation energy: -481 kJ/mol of formula units.

The structure belongs to space group P4/mmm (No. 123); the cell edges are 3.580, 3.580 and 22.903 Å and the angles 90.00°, 90.00° and 90.00°. Symmetry generates all atoms from Pm at (0.000, 0.000, 0.101), Pm at (0.000, 0.000, 0.302), Y at (0.000, 0.000, 0.500), Pb at (0.500, 0.500, 0.000), Pb at (0.500, 0.500, 0.201) and Pb at (0.500, 0.500, 0.403).


# 16
DFT (PBE) results for an optimized crystal structure of Pm2Y2Pb5.

For the raw total energy, the calculation gives -178.82 eV per cell. As for the density of states at the Fermi level: 3.082 states/eV/f.u. As for the formation energy: -360 kJ/mol of formula units.

The structure belongs to space group Cmce (No. 64); the cell edges are 16.674, 8.222 and 8.236 Å and the angles 90.00°, 90.00° and 90.00°. Symmetry generates all atoms from Pm at (0.191, 0.000, 0.000), Y at (0.000, 0.163, 0.337), Pb at (0.000, 0.000, 0.000) and Pb at (0.135, 0.135, 0.634).


# 17
DFT (PBE) results for an optimized crystal structure of PmY5Pb4.

For the raw total energy, the calculation gives -109.38 eV per cell. As for the density of states at the Fermi level: 10.119 states/eV/f.u. As for the formation energy: -269 kJ/mol of formula units.

The structure belongs to space group C2/m (No. 12); the cell edges are 18.097, 4.597 and 8.004 Å and the angles 90.00°, 102.27° and 90.00°. Symmetry generates all atoms from Pm at (0.000, 0.000, 0.000), Y at (0.000, 0.000, 0.500), Y at (0.140, 0.500, 0.730), Y at (0.208, 0.500, 0.313), Pb at (0.038, 0.500, 0.281) and Pb at (0.185, 0.000, 0.018).


# 18
DFT (PBE) results for an optimized crystal structure of Pm5Y2Pb4.

For the raw total energy, the calculation gives -106.07 eV per cell. As for the density of states at the Fermi level: 12.357 states/eV/f.u. As for the formation energy: -147 kJ/mol of formula units.

The structure belongs to space group C2/m (No. 12); the cell edges are 27.327, 3.580 and 7.588 Å and the angles 90.00°, 92.28° and 90.00°. Symmetry generates all atoms from Pm at (0.000, 0.000, 0.000), Pm at (0.140, 0.500, 0.840), Pm at (0.236, 0.500, 0.214), Y at (0.088, 0.500, 0.299), Pb at (0.033, 0.500, 0.666) and Pb at (0.173, 0.000, 0.497).


# 19
DFT (PBE) results for an optimized crystal structure of PmYPb.

For the raw total energy, the calculation gives -62.75 eV per cell. As for the density of states at the Fermi level: 3.906 states/eV/f.u. As for the formation energy: -74 kJ/mol of formula units.

The structure belongs to space group F-43m (No. 216); the cell edges are 7.437, 7.437 and 7.437 Å and the angles 90.00°, 90.00° and 90.00°. Symmetry generates all atoms from Pm at (0.000, 0.000, 0.000), Y at (0.000, 0.000, 0.500) and Pb at (0.250, 0.250, 0.750).


# 20
DFT (PBE) results for an optimized crystal structure of Pm3Y2Pb3.

For the raw total energy, the calculation gives -85.74 eV per cell. As for the density of states at the Fermi level: 6.915 states/eV/f.u. As for the formation energy: -441 kJ/mol of formula units.

The structure belongs to space group P6_3/mcm (No. 193); the cell edges are 9.2272, 9.2272 and 6.7450 Å and the angles 90.00°, 90.00° and 120.00°. Symmetry generates all atoms from Pm at (0.0000, 0.2390, 0.2500), Y at (0.3333, 0.6667, 0.0000) and Pb at (0.0000, 0.3972, 0.7500).


# 21
DFT (PBE) results for an optimized crystal structure of PmY5Pb5.

For the raw total energy, the calculation gives -118.13 eV per cell. As for the density of states at the Fermi level: 8.657 states/eV/f.u. As for the formation energy: -333 kJ/mol of formula units.

The structure belongs to space group C2/m (No. 12); the cell edges are 15.668, 6.298 and 7.511 Å and the angles 90.00°, 103.13° and 90.00°. Symmetry generates all atoms from Pm at (0.000, 0.000, 0.000), Y at (0.000, 0.000, 0.500), Y at (0.156, 0.500, 0.339), Y at (0.168, 0.500, 0.841), Pb at (0.000, 0.500, 0.000), Pb at (0.168, 0.000, 0.344) and Pb at (0.169, 0.000, 0.815).